# 1
First-principles (GGA-PBE) data for Ac2TmTh after structural relaxation, as listed in Alexandria via LeMat-Bulk.

```
Ac2TmTh
1.0
3.667 0.000 0.000
1.833 3.175 0.000
1.833 1.058 13.110
Ac Tm Th
2 1 1
Direct
0.090 0.090 0.731
0.910 0.910 0.269
0.500 0.500 0.500
0.000 0.000 0.000
```

E_form: 0.293 eV/atom
energy above the lowest structure with this stoichiometry: 163 meV/atom
space-group type: R-3m, No. 166

---

# 2
First-principles (GGA-PBE) data for AcTm12Th5 after structural relaxation, as listed in Alexandria via LeMat-Bulk.

```
AcTm12Th5
1.0
-9.128 11.664 1.437
-9.785 2.255 -3.443
-1.941 -2.035 4.185
Ac Tm Th
1 12 5
Direct
0.000 0.000 0.000
0.833 0.000 0.500
0.167 0.000 0.500
0.664 0.000 0.000
0.336 0.000 0.000
0.335 0.660 0.000
0.004 0.660 0.000
0.996 0.340 0.000
0.665 0.340 0.000
0.499 0.331 0.500
0.830 0.669 0.500
0.170 0.331 0.500
0.501 0.669 0.500
0.500 0.000 0.500
0.172 0.657 0.500
0.828 0.343 0.500
0.665 0.670 0.000
0.335 0.330 0.000
```

E_form: 0.042 eV/atom
space-group type: Cmmm, No. 65

---

# 3
First-principles (GGA-PBE) data for Ac2TmTh after structural relaxation, as listed in Alexandria via LeMat-Bulk.

```
Ac2TmTh
1.0
3.767 0.000 0.000
0.000 3.767 0.000
0.000 0.000 10.538
Ac Tm Th
2 1 1
Direct
0.000 0.000 0.750
0.000 0.000 0.250
0.500 0.500 0.000
0.500 0.500 0.500
```

E_form: 0.131 eV/atom
energy above the lowest structure with this stoichiometry: 1 meV/atom
space-group type: P4/mmm, No. 123

---

# 4
First-principles (GGA-PBE) data for AcTmThZr after structural relaxation, as listed in Alexandria via LeMat-Bulk.

```
AcTmThZr
1.0
-0.421 3.126 4.639
-4.976 0.641 2.508
-0.981 -2.447 4.952
Ac Tm Zr Th
1 1 1 1
Direct
0.000 0.000 0.000
0.750 0.750 0.750
0.250 0.250 0.250
0.500 0.500 0.500
```

E_form: 0.196 eV/atom
space-group type: F-43m, No. 216